Entry i
Material: KZrB
Method: DFT, GGA-PBE
State: relaxed

Unit cell a=4.864 b=4.864 c=5.249 alpha=90.00 beta=90.00 gamma=120.00
Fractional positions:
Zr1 0.333 0.667 0.531
Zr2 0.667 0.333 0.031
K1 0.000 0.000 0.706
K2 0.000 0.000 0.206
B1 0.333 0.667 0.014
B2 0.667 0.333 0.514

Values from the calculation:
- space-group type = P6_3mc, No. 186
- size of the total moment (μB per formula unit) = 0.00

Entry ii
Material: KZrB
Method: DFT, GGA-PBE
State: relaxed

Unit cell a=13.766 b=4.556 c=4.556 alpha=105.68 beta=120.21 gamma=59.79
Fractional positions:
B1 0.379 0.715 0.977
B2 0.379 0.023 0.285
Zr1 0.326 0.228 0.772
Zr2 0.308 0.665 0.335
K1 0.621 0.278 0.722
K2 0.022 0.320 0.680

Values from the calculation:
- space-group type = Cm, No. 8
- size of the total moment (μB per formula unit) = 0.00

It is entry i that is the least stable of them.

Entry i
Material: LiLaB3
Method: DFT, GGA-PBE
State: relaxed

Unit cell a=4.852 b=4.852 c=4.852 alpha=90.00 beta=90.00 gamma=90.00
Fractional positions:
La1 0.000 0.000 0.000
B1 0.500 0.000 0.000
B2 0.000 0.000 0.500
B3 0.000 0.500 0.000
Li1 0.500 0.500 0.500

Values from the calculation:
- space-group type = Pm-3m, No. 221
- size of the total moment (μB per formula unit) = 0.00

Entry ii
Material: LiLaB3
Method: DFT, GGA-PBE
State: relaxed

Unit cell a=4.078 b=4.078 c=4.078 alpha=90.00 beta=90.00 gamma=90.00
Fractional positions:
B1 0.500 0.000 0.000
B2 0.000 0.000 0.500
B3 0.000 0.500 0.000
La1 0.500 0.500 0.500
Li1 0.000 0.000 0.000

Values from the calculation:
- space-group type = Pm-3m, No. 221
- size of the total moment (μB per formula unit) = 0.00

It is entry i that is the least stable of them.

Entry i
Material: LaMgB3
Method: DFT, GGA-PBE
State: relaxed

Unit cell a=4.748 b=4.748 c=4.748 alpha=90.00 beta=90.00 gamma=90.00
Fractional positions:
La1 0.000 0.000 0.000
B1 0.500 0.000 0.000
B2 0.000 0.500 0.000
B3 0.000 0.000 0.500
Mg1 0.500 0.500 0.500

Values from the calculation:
- space-group type = Pm-3m, No. 221
- size of the total moment (μB per formula unit) = 0.00

Entry ii
Material: LaMgB3
Method: DFT, GGA-PBE
State: relaxed

Unit cell a=4.335 b=4.335 c=4.335 alpha=90.00 beta=90.00 gamma=90.00
Fractional positions:
B1 0.000 0.500 0.000
B2 0.500 0.000 0.000
B3 0.000 0.000 0.500
Mg1 0.000 0.000 0.000
La1 0.500 0.500 0.500

Values from the calculation:
- space-group type = Pm-3m, No. 221
- size of the total moment (μB per formula unit) = 0.00

It is entry i that is the least stable of them.

Entry i
Material: LaMg14B
Method: DFT, GGA-PBE
State: relaxed

Unit cell a=6.617 b=6.617 c=10.375 alpha=90.00 beta=90.00 gamma=125.32
Fractional positions:
Mg1 0.173 0.327 0.754
Mg2 0.664 0.336 0.762
Mg3 0.830 0.678 0.000
Mg4 0.322 0.170 0.000
Mg5 0.829 0.171 0.000
Mg6 0.673 0.827 0.754
Mg7 0.673 0.827 0.246
Mg8 0.317 0.683 0.000
Mg9 0.311 0.224 0.500
Mg10 0.209 0.791 0.662
Mg11 0.209 0.791 0.338
Mg12 0.776 0.689 0.500
Mg13 0.664 0.336 0.238
Mg14 0.173 0.327 0.246
B1 0.371 0.629 0.500
La1 0.806 0.194 0.500

Values from the calculation:
- space-group type = Amm2, No. 38
- size of the total moment (μB per formula unit) = 0.00

Entry ii
Material: LaMg14B
Method: DFT, GGA-PBE
State: relaxed

Unit cell a=6.519 b=6.519 c=9.969 alpha=90.00 beta=90.00 gamma=120.00
Fractional positions:
La1 0.000 0.000 0.000
Mg1 0.667 0.333 0.237
Mg2 0.158 0.842 0.721
Mg3 0.509 0.018 0.500
Mg4 0.683 0.842 0.721
Mg5 0.158 0.317 0.721
Mg6 0.020 0.510 0.000
Mg7 0.158 0.842 0.279
Mg8 0.158 0.317 0.279
Mg9 0.982 0.491 0.500
Mg10 0.683 0.842 0.279
Mg11 0.490 0.510 0.000
Mg12 0.667 0.333 0.763
Mg13 0.490 0.980 0.000
Mg14 0.509 0.491 0.500
B1 0.000 0.000 0.500

Values from the calculation:
- space-group type = P-6m2, No. 187
- size of the total moment (μB per formula unit) = 0.00

It is entry ii that is the least stable of them.

Entry i
Material: La2MgB
Method: DFT, GGA-PBE
State: relaxed

Unit cell a=5.174 b=5.174 c=5.174 alpha=60.00 beta=60.00 gamma=60.00
Fractional positions:
La1 0.250 0.250 0.250
La2 0.750 0.750 0.750
Mg1 0.500 0.500 0.500
B1 0.000 0.000 0.000

Values from the calculation:
- space-group type = Fm-3m, No. 225
- size of the total moment (μB per formula unit) = 0.00

Entry ii
Material: La2MgB
Method: DFT, GGA-PBE
State: relaxed

Unit cell a=8.125 b=8.125 c=6.689 alpha=52.60 beta=52.60 gamma=90.00
Fractional positions:
La1 0.875 0.794 0.750
La2 0.375 0.456 0.750
La3 0.544 0.125 0.250
La4 0.206 0.625 0.250
B1 0.250 0.750 0.500
B2 0.500 0.500 0.000
Mg1 0.750 0.250 0.500
Mg2 0.000 0.000 0.000

Values from the calculation:
- space-group type = I-42d, No. 122
- size of the total moment (μB per formula unit) = 0.00

It is entry i that is the least stable of them.

Entry i
Material: LaMg3B
Method: DFT, GGA-PBE
State: relaxed

Unit cell a=6.229 b=6.229 c=6.229 alpha=90.00 beta=90.00 gamma=90.00
Fractional positions:
Mg1 0.000 0.000 0.500
Mg2 0.000 0.500 0.000
Mg3 0.500 0.000 0.000
B1 0.500 0.500 0.500
La1 0.000 0.000 0.000

Values from the calculation:
- space-group type = Pm-3m, No. 221
- size of the total moment (μB per formula unit) = 2.95

Entry ii
Material: LaMg3B
Method: DFT, GGA-PBE
State: relaxed

Unit cell a=4.807 b=4.807 c=4.807 alpha=90.00 beta=90.00 gamma=90.00
Fractional positions:
Mg1 0.000 0.500 0.000
Mg2 0.000 0.000 0.500
Mg3 0.500 0.000 0.000
B1 0.000 0.000 0.000
La1 0.500 0.500 0.500

Values from the calculation:
- space-group type = Pm-3m, No. 221
- size of the total moment (μB per formula unit) = 0.88

It is entry i that is the least stable of them.

Entry i
Material: LaMnB
Method: DFT, GGA-PBE
State: relaxed

Unit cell a=3.563 b=5.305 c=6.201 alpha=95.43 beta=106.71 gamma=109.62
Fractional positions:
La1 0.236 0.298 0.175
La2 0.764 0.702 0.825
B1 0.578 0.875 0.281
B2 0.422 0.125 0.719
Mn1 0.114 0.802 0.426
Mn2 0.886 0.198 0.574

Values from the calculation:
- space-group type = C2/m, No. 12
- size of the total moment (μB per formula unit) = 1.96

Entry ii
Material: LaMnB
Method: DFT, GGA-PBE
State: relaxed

Unit cell a=3.648 b=3.648 c=8.628 alpha=90.00 beta=90.00 gamma=90.00
Fractional positions:
La1 0.500 0.000 0.212
La2 0.000 0.500 0.788
Mn1 0.500 0.500 0.500
Mn2 0.000 0.000 0.500
B1 0.500 0.000 0.619
B2 0.000 0.500 0.381

Values from the calculation:
- space-group type = P4/nmm, No. 129
- size of the total moment (μB per formula unit) = 1.81

Entry iii
Material: LaMnB
Method: DFT, GGA-PBE
State: relaxed

Unit cell a=8.438 b=4.768 c=6.335 alpha=90.00 beta=100.71 gamma=90.00
Fractional positions:
Mn1 0.403 0.500 0.903
Mn2 0.440 0.000 0.818
Mn3 0.440 0.500 0.318
Mn4 0.403 0.000 0.403
La1 0.129 0.000 0.740
La2 0.129 0.500 0.240
La3 0.689 0.000 0.154
La4 0.689 0.500 0.654
B1 0.382 0.324 0.601
B2 0.382 0.676 0.601
B3 0.382 0.824 0.101
B4 0.382 0.176 0.101

Values from the calculation:
- space-group type = Cm, No. 8
- size of the total moment (μB per formula unit) = 0.00

Entry iv
Material: LaMnB
Method: DFT, GGA-PBE
State: relaxed

Unit cell a=5.616 b=3.913 c=10.476 alpha=90.00 beta=107.20 gamma=90.00
Fractional positions:
Mn1 0.097 0.500 0.288
Mn2 0.845 0.500 0.683
Mn3 0.845 0.000 0.183
Mn4 0.097 0.000 0.788
B1 0.169 0.500 0.840
B2 0.727 0.500 0.190
B3 0.169 0.000 0.340
B4 0.727 0.000 0.690
La1 0.704 0.500 0.920
La2 0.704 0.000 0.420
La3 0.300 0.500 0.586
La4 0.300 0.000 0.086

Values from the calculation:
- space-group type = Cm, No. 8
- size of the total moment (μB per formula unit) = 1.46

It is entry iv that is the least stable of them.

Entry i
Material: LaMnB
Method: DFT, GGA-PBE
State: relaxed

Unit cell a=6.417 b=3.763 c=10.193 alpha=90.00 beta=127.89 gamma=90.00
Fractional positions:
Mn1 0.411 0.000 0.246
Mn2 0.589 0.500 0.254
Mn3 0.589 0.000 0.754
Mn4 0.411 0.500 0.746
B1 0.456 0.500 0.399
B2 0.456 0.000 0.899
B3 0.544 0.500 0.601
B4 0.544 0.000 0.101
La1 0.863 0.000 0.586
La2 0.137 0.500 0.914
La3 0.863 0.500 0.086
La4 0.137 0.000 0.414

Values from the calculation:
- space-group type = C2/m, No. 12
- size of the total moment (μB per formula unit) = 0.00

Entry ii
Material: LaMnB
Method: DFT, GGA-PBE
State: relaxed

Unit cell a=3.972 b=3.972 c=7.761 alpha=90.75 beta=89.26 gamma=104.22
Fractional positions:
B1 0.211 0.184 0.596
B2 0.561 0.534 0.596
Mn1 0.686 0.060 0.652
Mn2 0.087 0.659 0.540
La1 0.133 0.613 0.892
La2 0.638 0.106 0.300

Values from the calculation:
- space-group type = Cm, No. 8
- size of the total moment (μB per formula unit) = 2.23

It is entry i that is the least stable of them.